## A
First-principles (GGA-PBE) data for a relaxed structure of CsMo2Ir2, as listed in Alexandria via LeMat-Bulk.

Lattice parameters (Å, degrees): 5.969 5.969 5.969 134.21 134.21 66.75
Fractional coordinates of all 5 atoms:
Cs (0.000, 0.000, 0.000)
Mo (0.367, 0.367, 0.000)
Mo (0.633, 0.633, 0.000)
Ir (0.250, 0.750, 0.500)
Ir (0.750, 0.250, 0.500)

Calculated values
Fermi-level density of states ... 4.586 states/eV/cell

=====

## B
First-principles (GGA-PBE) data for a relaxed structure of CsMo2Ir2, as listed in Alexandria via LeMat-Bulk.

Lattice parameters (Å, degrees): 8.236 8.236 2.863 90.00 90.00 90.00
Fractional coordinates of all 10 atoms:
Cs (0.000, 0.000, 0.000)
Cs (0.500, 0.500, 0.000)
Mo (0.112, 0.388, 0.000)
Mo (0.388, 0.888, 0.000)
Mo (0.612, 0.112, 0.000)
Mo (0.888, 0.612, 0.000)
Ir (0.162, 0.662, 0.500)
Ir (0.338, 0.162, 0.500)
Ir (0.662, 0.838, 0.500)
Ir (0.838, 0.338, 0.500)

Calculated values
Fermi-level density of states ... 9.217 states/eV/cell

=====

On energetic grounds, B is preferred over the next structure by 21.7 kJ/mol of atoms.

=====

## A
First-principles (GGA-PBE) data for a relaxed structure of CsMoIr3, as listed in Alexandria via LeMat-Bulk.

Lattice parameters (Å, degrees): 4.896 4.896 4.896 90.00 90.00 90.00
Fractional coordinates of all 5 atoms:
Cs (0.000, 0.000, 0.000)
Mo (0.500, 0.500, 0.500)
Ir (0.000, 0.500, 0.500)
Ir (0.500, 0.000, 0.500)
Ir (0.500, 0.500, 0.000)

Calculated values
Fermi-level density of states ... 3.160 states/eV/cell

=====

## B
First-principles (GGA-PBE) data for a relaxed structure of CsMoIr3, as listed in Alexandria via LeMat-Bulk.

Lattice parameters (Å, degrees): 4.876 4.876 4.876 90.00 90.00 90.00
Fractional coordinates of all 5 atoms:
Cs (0.000, 0.000, 0.000)
Mo (0.500, 0.500, 0.500)
Ir (0.000, 0.000, 0.500)
Ir (0.000, 0.500, 0.000)
Ir (0.500, 0.000, 0.000)

Calculated values
Fermi-level density of states ... 12.651 states/eV/cell

=====

On energetic grounds, A is preferred over the next structure by 204.8 kJ/mol of atoms.

=====

## A
First-principles (GGA-PBE) data for a relaxed structure of CsMo3Ir, as listed in Alexandria via LeMat-Bulk.

Lattice parameters (Å, degrees): 4.805 4.805 4.805 90.00 90.00 90.00
Fractional coordinates of all 5 atoms:
Cs (0.000, 0.000, 0.000)
Mo (0.000, 0.000, 0.500)
Mo (0.000, 0.500, 0.000)
Mo (0.500, 0.000, 0.000)
Ir (0.500, 0.500, 0.500)

Calculated values
Fermi-level density of states ... 8.413 states/eV/cell

=====

## B
First-principles (GGA-PBE) data for a relaxed structure of CsMo3Ir, as listed in Alexandria via LeMat-Bulk.

Lattice parameters (Å, degrees): 4.977 4.977 4.977 90.00 90.00 90.00
Fractional coordinates of all 5 atoms:
Cs (0.000, 0.000, 0.000)
Mo (0.000, 0.500, 0.500)
Mo (0.500, 0.000, 0.500)
Mo (0.500, 0.500, 0.000)
Ir (0.500, 0.500, 0.500)

Calculated values
Fermi-level density of states ... 4.527 states/eV/cell

=====

On energetic grounds, B is preferred over the next structure by 162.2 kJ/mol of atoms.

=====

## A
First-principles (GGA-PBE) data for a relaxed structure of CsIrN2, as listed in Alexandria via LeMat-Bulk.

Lattice parameters (Å, degrees): 5.999 5.999 5.999 117.33 117.33 94.69
Fractional coordinates of all 8 atoms:
Cs (0.000, 0.000, 0.000)
Cs (0.750, 0.250, 0.500)
Ir (0.250, 0.750, 0.500)
Ir (0.500, 0.500, 0.000)
N (0.304, 0.625, 0.179)
N (0.375, 0.554, 0.679)
N (0.446, 0.125, 0.821)
N (0.875, 0.696, 0.321)

Calculated values
Fermi-level density of states ... 4.999 states/eV/cell

=====

## B
First-principles (GGA-PBE) data for a relaxed structure of CsIrN2, as listed in Alexandria via LeMat-Bulk.

Lattice parameters (Å, degrees): 7.144 7.144 7.144 27.64 27.64 27.64
Fractional coordinates of all 4 atoms:
Cs (0.000, 0.000, 0.000)
Ir (0.500, 0.500, 0.500)
N (0.133, 0.133, 0.133)
N (0.867, 0.867, 0.867)

Calculated values
Fermi-level density of states ... 0.952 states/eV/cell

=====

## C
First-principles (GGA-PBE) data for a relaxed structure of CsIrN2, as listed in Alexandria via LeMat-Bulk.

Lattice parameters (Å, degrees): 4.365 4.365 4.365 60.00 60.00 60.00
Fractional coordinates of all 4 atoms:
Cs (0.000, 0.000, 0.000)
Ir (0.500, 0.500, 0.500)
N (0.250, 0.250, 0.250)
N (0.750, 0.750, 0.750)

Calculated values
Fermi-level density of states ... 2.709 states/eV/cell

=====

On energetic grounds, A is preferred over the next structure by 45.0 kJ/mol of atoms.

=====

## A
First-principles (GGA-PBE) data for a relaxed structure of CsTeIrN2, as listed in Alexandria via LeMat-Bulk.

Lattice parameters (Å, degrees): 4.131 4.131 8.053 90.00 90.00 90.00
Fractional coordinates of all 5 atoms:
Cs (0.000, 0.000, 0.000)
Te (0.000, 0.000, 0.500)
Ir (0.500, 0.500, 0.500)
N (0.000, 0.500, 0.000)
N (0.500, 0.000, 0.000)

Calculated values
Fermi-level density of states ... 6.425 states/eV/cell

=====

## B
First-principles (GGA-PBE) data for a relaxed structure of CsTeIrN2, as listed in Alexandria via LeMat-Bulk.

Lattice parameters (Å, degrees): 4.223 4.223 5.634 90.00 90.00 90.00
Fractional coordinates of all 5 atoms:
Cs (0.000, 0.000, 0.000)
Te (0.500, 0.500, 0.000)
Ir (0.500, 0.500, 0.500)
N (0.000, 0.500, 0.500)
N (0.500, 0.000, 0.500)

Calculated values
Fermi-level density of states ... 4.045 states/eV/cell

=====

On energetic grounds, B is preferred over the next structure by 147.9 kJ/mol of atoms.

=====

## A
First-principles (GGA-PBE) data for a relaxed structure of CsNa2IrO, as listed in Alexandria via LeMat-Bulk.

Lattice parameters (Å, degrees): 6.059 6.059 4.492 90.00 90.00 90.00
Fractional coordinates of all 5 atoms:
Cs (0.000, 0.000, 0.000)
Na (0.000, 0.500, 0.000)
Na (0.500, 0.000, 0.000)
Ir (0.500, 0.500, 0.500)
O (0.000, 0.000, 0.500)

Calculated values
Fermi-level density of states ... 4.372 states/eV/cell

=====

## B
First-principles (GGA-PBE) data for a relaxed structure of CsNa2IrO, as listed in Alexandria via LeMat-Bulk.

Lattice parameters (Å, degrees): 4.695 4.695 5.706 90.00 90.00 90.00
Fractional coordinates of all 5 atoms:
Cs (0.000, 0.000, 0.000)
Na (0.000, 0.500, 0.500)
Na (0.500, 0.000, 0.500)
Ir (0.500, 0.500, 0.000)
O (0.000, 0.000, 0.500)

Calculated values
Fermi-level density of states ... 2.524 states/eV/cell

=====

On energetic grounds, B is preferred over the next structure by 76.3 kJ/mol of atoms.

=====

## A
First-principles (GGA-PBE) data for a relaxed structure of CsNbIr2, as listed in Alexandria via LeMat-Bulk.

Lattice parameters (Å, degrees): 4.843 4.843 4.843 60.00 60.00 60.00
Fractional coordinates of all 4 atoms:
Cs (0.000, 0.000, 0.000)
Nb (0.500, 0.500, 0.500)
Ir (0.250, 0.250, 0.250)
Ir (0.750, 0.750, 0.750)

Calculated values
Fermi-level density of states ... 4.200 states/eV/cell

=====

## B
First-principles (GGA-PBE) data for a relaxed structure of CsNbIr2, as listed in Alexandria via LeMat-Bulk.

Lattice parameters (Å, degrees): 6.668 6.668 6.668 111.16 111.16 106.14
Fractional coordinates of all 8 atoms:
Cs (0.000, 0.000, 0.000)
Cs (0.750, 0.250, 0.500)
Nb (0.250, 0.750, 0.500)
Nb (0.500, 0.500, 0.000)
Ir (0.214, 0.625, 0.089)
Ir (0.375, 0.464, 0.589)
Ir (0.536, 0.125, 0.911)
Ir (0.875, 0.786, 0.411)

Calculated values
Fermi-level density of states ... 0.000 states/eV/cell

=====

On energetic grounds, B is preferred over the next structure by 43.1 kJ/mol of atoms.

=====

## A
First-principles (GGA-PBE) data for a relaxed structure of CsNi3Ir, as listed in Alexandria via LeMat-Bulk.

Lattice parameters (Å, degrees): 4.775 4.775 4.775 90.00 90.00 90.00
Fractional coordinates of all 5 atoms:
Cs (0.000, 0.000, 0.000)
Ni (0.000, 0.500, 0.500)
Ni (0.500, 0.000, 0.500)
Ni (0.500, 0.500, 0.000)
Ir (0.500, 0.500, 0.500)

Calculated values
Fermi-level density of states ... 6.828 states/eV/cell

=====

## B
First-principles (GGA-PBE) data for a relaxed structure of CsNi3Ir, as listed in Alexandria via LeMat-Bulk.

Lattice parameters (Å, degrees): 4.620 4.620 4.620 90.00 90.00 90.00
Fractional coordinates of all 5 atoms:
Cs (0.000, 0.000, 0.000)
Ni (0.000, 0.000, 0.500)
Ni (0.000, 0.500, 0.000)
Ni (0.500, 0.000, 0.000)
Ir (0.500, 0.500, 0.500)

Calculated values
Fermi-level density of states ... 5.938 states/eV/cell

=====

On energetic grounds, A is preferred over the next structure by 148.4 kJ/mol of atoms.

=====

## A
First-principles (GGA-PBE) data for a relaxed structure of Cs4IrO4, as listed in Alexandria via LeMat-Bulk.

Lattice parameters (Å, degrees): 6.948 6.948 6.948 100.70 100.70 128.96
Fractional coordinates of all 9 atoms:
Cs (0.112, 0.706, 0.818)
Cs (0.294, 0.112, 0.405)
Cs (0.706, 0.888, 0.595)
Cs (0.888, 0.294, 0.182)
Ir (0.500, 0.500, 0.000)
O (0.290, 0.436, 0.726)
O (0.436, 0.710, 0.146)
O (0.564, 0.290, 0.854)
O (0.710, 0.564, 0.274)

Calculated values
Fermi-level density of states ... 0.558 states/eV/cell

=====

## B
First-principles (GGA-PBE) data for a relaxed structure of Cs4IrO4, as listed in Alexandria via LeMat-Bulk.

Lattice parameters (Å, degrees): 6.317 6.317 6.911 106.97 106.97 65.16
Fractional coordinates of all 9 atoms:
Cs (0.116, 0.116, 0.352)
Cs (0.310, 0.310, 0.919)
Cs (0.690, 0.690, 0.081)
Cs (0.884, 0.884, 0.648)
Ir (0.500, 0.500, 0.500)
O (0.190, 0.593, 0.319)
O (0.407, 0.810, 0.681)
O (0.593, 0.190, 0.319)
O (0.810, 0.407, 0.681)

Calculated values
Fermi-level density of states ... 0.062 states/eV/cell

=====

On energetic grounds, B is preferred over the next structure by 0.7 kJ/mol of atoms.

=====

## A
First-principles (GGA-PBE) data for a relaxed structure of Cs3IrO6, as listed in Alexandria via LeMat-Bulk.

Lattice parameters (Å, degrees): 6.694 6.694 9.723 90.00 90.00 90.00
Fractional coordinates of all 20 atoms:
Cs (0.000, 0.000, 0.000)
Cs (0.000, 0.500, 0.250)
Cs (0.000, 0.500, 0.750)
Cs (0.500, 0.000, 0.250)
Cs (0.500, 0.000, 0.750)
Cs (0.500, 0.500, 0.500)
Ir (0.000, 0.000, 0.500)
Ir (0.500, 0.500, 0.000)
O (0.000, 0.000, 0.307)
O (0.000, 0.000, 0.693)
O (0.140, 0.242, 0.500)
O (0.242, 0.860, 0.500)
O (0.258, 0.360, 0.000)
O (0.360, 0.742, 0.000)
O (0.500, 0.500, 0.193)
O (0.500, 0.500, 0.807)
O (0.640, 0.258, 0.000)
O (0.742, 0.640, 0.000)
O (0.758, 0.140, 0.500)
O (0.860, 0.758, 0.500)

Calculated values
Fermi-level density of states ... 0.358 states/eV/cell

=====

## B
First-principles (GGA-PBE) data for a relaxed structure of Cs3IrO6, as listed in Alexandria via LeMat-Bulk.

Lattice parameters (Å, degrees): 7.322 6.780 6.478 67.00 58.47 54.53
Fractional coordinates of all 10 atoms:
Cs (0.000, 0.000, 0.000)
Cs (0.250, 0.250, 0.250)
Cs (0.750, 0.750, 0.750)
Ir (0.500, 0.500, 0.500)
O (0.218, 0.538, 0.782)
O (0.310, 0.690, 0.310)
O (0.462, 0.782, 0.538)
O (0.538, 0.218, 0.462)
O (0.690, 0.310, 0.690)
O (0.782, 0.462, 0.218)

=====

On energetic grounds, A is preferred over the next structure by 3.6 kJ/mol of atoms.

=====

## A
First-principles (GGA-PBE) data for a relaxed structure of CsIrO4, as listed in Alexandria via LeMat-Bulk.

Lattice parameters (Å, degrees): 7.727 7.727 5.231 107.58 107.58 39.90
Fractional coordinates of all 12 atoms:
Cs (0.224, 0.776, 0.750)
Cs (0.776, 0.224, 0.250)
Ir (0.000, 0.500, 0.000)
Ir (0.500, 0.000, 0.500)
O (0.142, 0.297, 0.302)
O (0.213, 0.542, 0.140)
O (0.297, 0.142, 0.802)
O (0.458, 0.787, 0.360)
O (0.542, 0.213, 0.640)
O (0.703, 0.858, 0.198)
O (0.787, 0.458, 0.860)
O (0.858, 0.703, 0.698)

Calculated values
Fermi-level density of states ... 9.250 states/eV/cell

=====

## B
First-principles (GGA-PBE) data for a relaxed structure of CsIrO4, as listed in Alexandria via LeMat-Bulk.

Lattice parameters (Å, degrees): 6.859 6.859 6.292 98.47 98.47 116.10
Fractional coordinates of all 12 atoms:
Cs (0.165, 0.835, 0.750)
Cs (0.835, 0.165, 0.250)
Ir (0.500, 0.500, 0.250)
Ir (0.500, 0.500, 0.750)
O (0.216, 0.286, 0.671)
O (0.286, 0.216, 0.171)
O (0.388, 0.607, 0.475)
O (0.393, 0.612, 0.025)
O (0.607, 0.388, 0.975)
O (0.612, 0.393, 0.525)
O (0.714, 0.784, 0.829)
O (0.784, 0.714, 0.329)

=====

On energetic grounds, B is preferred over the next structure by 12.9 kJ/mol of atoms.

=====

## A
First-principles (GGA-PBE) data for a relaxed structure of Cs2IrOs, as listed in Alexandria via LeMat-Bulk.

Lattice parameters (Å, degrees): 5.807 5.807 5.807 60.00 60.00 60.00
Fractional coordinates of all 4 atoms:
Cs (0.250, 0.250, 0.250)
Cs (0.750, 0.750, 0.750)
Ir (0.000, 0.000, 0.000)
Os (0.500, 0.500, 0.500)

Calculated values
Fermi-level density of states ... 4.007 states/eV/cell

=====

## B
First-principles (GGA-PBE) data for a relaxed structure of Cs2IrOs, as listed in Alexandria via LeMat-Bulk.

Lattice parameters (Å, degrees): 9.354 9.354 9.354 93.60 93.60 150.97
Fractional coordinates of all 8 atoms:
Cs (0.375, 0.209, 0.334)
Cs (0.791, 0.125, 0.166)
Cs (0.875, 0.041, 0.666)
Cs (0.959, 0.625, 0.834)
Ir (0.000, 0.000, 0.000)
Ir (0.750, 0.250, 0.500)
Os (0.250, 0.750, 0.500)
Os (0.500, 0.500, 0.000)

Calculated values
Fermi-level density of states ... 10.443 states/eV/cell

=====

On energetic grounds, B is preferred over the next structure by 109.8 kJ/mol of atoms.